[1]
DFT (PBE) results for an optimized crystal structure of PmYZnGe.

Properties
E above lowest polymorph in meV/atom: 82
DOS at the Fermi energy in states/eV/cell: 2.5

POSCAR file:
```
PmYZnGe
1.0
0.000 3.602 3.602
3.602 0.000 3.602
3.602 3.602 0.000
Pm Y Zn Ge
1 1 1 1
Direct
0.000 0.000 0.000 Pm
0.500 0.500 0.500 Y
0.750 0.750 0.750 Zn
0.250 0.250 0.250 Ge
```

=====

[2]
DFT (PBE) results for an optimized crystal structure of PmYZnGe.

Properties
E above lowest polymorph in meV/atom: 0
DOS at the Fermi energy in states/eV/cell: 4.2

POSCAR file:
```
PmYZnGe
1.0
4.137 0.000 0.000
0.000 2.124 5.566
0.000 -2.124 5.566
Pm Y Zn Ge
1 1 1 1
Direct
0.000 0.000 0.000 Pm
0.500 0.283 0.283 Y
0.500 0.573 0.573 Zn
0.000 0.720 0.720 Ge
```

=====

[3]
DFT (PBE) results for an optimized crystal structure of Pm3Zn3Ge.

Properties
DOS at the Fermi energy in states/eV/cell: 6.9

POSCAR file:
```
Pm3Zn3Ge
1.0
-2.037 2.132 9.704
2.037 -2.132 9.704
2.037 2.132 -9.704
Pm Zn Ge
3 3 1
Direct
0.000 0.000 0.000 Pm
0.373 0.373 0.000 Pm
0.696 0.196 0.500 Pm
0.124 0.624 0.500 Zn
0.551 0.551 0.000 Zn
0.829 0.829 0.000 Zn
0.253 0.753 0.500 Ge
```

=====

[4]
DFT (PBE) results for an optimized crystal structure of Pm5Zn4Ge.

Properties
DOS at the Fermi energy in states/eV/cell: 9.7

POSCAR file:
```
Pm5Zn4Ge
1.0
3.641 0.000 0.000
0.000 3.641 0.000
0.000 0.000 18.472
Pm Zn Ge
5 4 1
Direct
0.000 0.000 0.000 Pm
0.000 0.000 0.200 Pm
0.000 0.000 0.399 Pm
0.000 0.000 0.601 Pm
0.000 0.000 0.800 Pm
0.500 0.500 0.100 Zn
0.500 0.500 0.296 Zn
0.500 0.500 0.704 Zn
0.500 0.500 0.900 Zn
0.500 0.500 0.500 Ge
```

=====

The following DFT formation energy values (in eV per atom) correspond, in order, to the records above: -0.54, -0.62, -0.43, -0.39.
The following raw total energy values (in eV/cell) correspond, in order, to the records above: -19.26, -19.58, -25.73, -37.32.